# 1
First-principles (PBEsol) data for a relaxed structure of KRu2Se2, as listed in the Alexandria database.

## Properties
* E_form (uncorrected): -0.427 eV/atom
* total energy: -6.262 eV/atom

The structure in POSCAR format:
```
KRu2Se2
1.0
4.034 0.000 0.000
0.000 4.034 0.000
0.000 0.000 12.697
K Ru Se
2 4 4
direct
0.000 0.000 0.000
0.500 0.500 0.500
0.000 0.500 0.250
0.000 0.500 0.750
0.500 0.000 0.250
0.500 0.000 0.750
0.000 0.000 0.354
0.000 0.000 0.646
0.500 0.500 0.146
0.500 0.500 0.854
```



# 2
First-principles (PBEsol) data for a relaxed structure of Hf2BeP, as listed in the Alexandria database.

## Properties
* formation energy: -0.29 eV/atom
* total energy: -7.990 eV/atom

The structure in POSCAR format:
```
Hf2BeP
1.0
6.294 0.000 0.000
0.000 6.294 0.000
0.000 0.000 6.294
Hf Be P
8 4 4
direct
0.250 0.250 0.250
0.250 0.250 0.750
0.250 0.750 0.250
0.250 0.750 0.750
0.750 0.250 0.250
0.750 0.250 0.750
0.750 0.750 0.250
0.750 0.750 0.750
0.000 0.000 0.000
0.000 0.500 0.500
0.500 0.000 0.500
0.500 0.500 0.000
0.000 0.000 0.500
0.000 0.500 0.000
0.500 0.000 0.000
0.500 0.500 0.500
```



# 3
First-principles (PBEsol) data for a relaxed structure of CoSbTe2As, as listed in the Alexandria database.

## Properties
* E_form (uncorrected): 1.206 eV/atom
* total energy: -3.684 eV/atom

The structure in POSCAR format:
```
CoSbTe2As
1.0
5.243 0.000 0.000
0.000 5.243 0.000
0.000 0.000 5.320
Co Sb Te As
1 1 2 1
direct
0.000 0.000 0.000
0.500 0.500 0.000
0.000 0.500 0.500
0.500 0.000 0.500
0.500 0.500 0.500
```



# 4
First-principles (PBEsol) data for a relaxed structure of Al3Ag4, as listed in the Alexandria database.

## Properties
* offset from the most stable computed form: 1.6 kJ/mol of atoms
* formation energy: -0.07 eV/atom
* total energy: -3.713 eV/atom

The structure in POSCAR format:
```
Al3Ag4
1.0
3.775 2.179 2.277
-3.775 2.179 2.277
0.000 -4.359 2.277
Al Ag
3 4
direct
0.146 0.578 0.276
0.276 0.146 0.578
0.578 0.276 0.146
0.016 0.016 0.016
0.415 0.713 0.840
0.713 0.840 0.415
0.840 0.415 0.713
```